1.
Density functional theory data (PBE-GGA) for a geometry-optimized RbLaPb2 structure.

Cell lengths 11.8380, 11.8380, 11.8380 Å; angles 151.56, 151.56, 40.65 degrees
Last column: nearest neighbours and their distance in Å.
Atoms (fractional coordinates):
Rb 0.0000 0.0000 0.0000  4 Pb 3.73, 4 La 4.11
Rb 0.7500 0.2500 0.5000  4 Pb 3.73, 4 La 4.11
La 0.2500 0.7500 0.5000  4 Pb 3.25
La 0.5000 0.5000 0.0000  4 Pb 3.25
Pb 0.2245 0.6250 0.0995  2 La 3.25, 2 Pb 3.39
Pb 0.3750 0.4745 0.5995  2 La 3.25, 2 Pb 3.39
Pb 0.5255 0.1250 0.9005  2 La 3.25, 2 Pb 3.39
Pb 0.8750 0.7755 0.4005  2 La 3.25, 2 Pb 3.39

Computed properties:
- ΔE_f: 0.0885 eV/atom
- Magnetization: 0.00 μB/cell
- Energy relative to the lowest polymorph listed for this composition: 1.695 eV/f.u.
- Calculated total energy: -3.239 eV per atom

***

2.
Density functional theory data (PBE-GGA) for a geometry-optimized TbNd3Ho6 structure.

Cell lengths 6.6423, 6.6423, 9.6758 Å; angles 111.16, 111.16, 59.32 degrees
Last column: nearest neighbours and their distance in Å.
Atoms (fractional coordinates):
Tb 0.0000 0.0000 0.0000  10 Ho 3.71-3.72, 4 Nd 3.72
Nd 0.4300 0.4300 0.8017  4 Ho 3.28-3.36, 2 Nd 3.34-3.49
Nd 0.5000 0.5000 0.5000  4 Ho 3.33, 2 Nd 3.34
Nd 0.5700 0.5700 0.1983  4 Ho 3.28-3.36, 2 Nd 3.34-3.49
Ho 0.0607 0.5671 0.1886  3 Ho 3.25-3.33, 3 Nd 3.28-3.36
Ho 0.1366 0.1366 0.4215  1 Tb 3.71, 9 Ho 3.82-4.08, 6 Nd 3.83-3.94
Ho 0.4329 0.9393 0.8114  3 Ho 3.25-3.33, 3 Nd 3.28-3.36
Ho 0.5671 0.0607 0.1886  3 Ho 3.25-3.33, 3 Nd 3.28-3.36
Ho 0.8634 0.8634 0.5785  1 Tb 3.71, 9 Ho 3.82-4.08, 6 Nd 3.83-3.94
Ho 0.9393 0.4329 0.8114  3 Ho 3.25-3.33, 3 Nd 3.28-3.36

Computed properties:
- ΔE_f: 0.2257 eV/atom
- Magnetization: 0.00 μB/cell
- Energy relative to the lowest polymorph listed for this composition: 0.765 eV/f.u.
- Calculated total energy: -4.414 eV per atom

***

3.
Density functional theory data (PBE-GGA) for a geometry-optimized Ho12Cd2Hg5 structure.

Cell lengths 8.5609, 8.5609, 8.6031 Å; angles 90.30, 90.30, 60.24 degrees
Last column: nearest neighbours and their distance in Å.
Atoms (fractional coordinates):
Ho 0.0376 0.0376 0.3010  2 Hg 3.10-3.40, 2 Cd 3.12, 6 Ho 3.36-3.47
Ho 0.0907 0.6419 0.4240  3 Hg 3.04-3.20, 2 Ho 3.36
Ho 0.1169 0.5301 0.8374  3 Hg 3.04-3.39, 1 Cd 3.08
Ho 0.3581 0.9093 0.5760  3 Hg 3.04-3.20, 2 Ho 3.36
Ho 0.4400 0.4400 0.1574  2 Hg 3.07-3.34, 2 Cd 3.09, 1 Ho 3.25
Ho 0.4699 0.8831 0.1626  3 Hg 3.04-3.39, 1 Cd 3.08
Ho 0.5301 0.1169 0.8374  3 Hg 3.04-3.39, 1 Cd 3.08
Ho 0.5600 0.5600 0.8426  2 Hg 3.07-3.34, 2 Cd 3.09, 1 Ho 3.25
Ho 0.6419 0.0907 0.4240  3 Hg 3.04-3.20, 2 Ho 3.36
Ho 0.8831 0.4699 0.1626  3 Hg 3.04-3.39, 1 Cd 3.08
Ho 0.9093 0.3581 0.5760  3 Hg 3.04-3.20, 2 Ho 3.36
Ho 0.9624 0.9624 0.6990  2 Hg 3.10-3.40, 2 Cd 3.12, 6 Ho 3.36-3.47
Cd 0.1936 0.8064 0.0000  2 Hg 3.04, 6 Ho 3.08-3.12, 1 Cd 3.33
Cd 0.8064 0.1936 0.0000  2 Hg 3.04, 6 Ho 3.08-3.12, 1 Cd 3.33
Hg 0.1611 0.1611 0.9001  2 Cd 3.04, 4 Ho 3.04-3.39
Hg 0.2449 0.2449 0.3511  8 Ho 3.04-3.34
Hg 0.5000 0.5000 0.5000  6 Ho 3.07-3.15
Hg 0.7551 0.7551 0.6489  8 Ho 3.04-3.34
Hg 0.8389 0.8389 0.0999  2 Cd 3.04, 4 Ho 3.04-3.39

Computed properties:
- ΔE_f: -0.1211 eV/atom
- Magnetization: 0.51 μB/cell
- Calculated total energy: -3.188 eV per atom

***

4.
Density functional theory data (PBE-GGA) for a geometry-optimized LiThSc2S4 structure.

Cell lengths 6.5896, 3.7688, 6.6433 Å; angles 90.00, 108.49, 90.00 degrees
Last column: nearest neighbours and their distance in Å.
Atoms (fractional coordinates):
Li 0.0000 0.0000 0.0000  6 S 2.68-2.73
Th 0.5000 0.5000 0.0000  6 S 2.78-2.81
Sc 0.0000 0.5000 0.5000  6 S 2.59
Sc 0.5000 0.0000 0.5000  6 S 2.67-2.70
S 0.2290 0.0000 0.7314  3 Sc 2.59-2.70, 1 Li 2.68, 2 Th 2.81
S 0.2466 0.5000 0.2640  3 Sc 2.59-2.67, 2 Li 2.73, 1 Th 2.78
S 0.7534 0.5000 0.7360  3 Sc 2.59-2.67, 2 Li 2.73, 1 Th 2.78
S 0.7710 0.0000 0.2686  3 Sc 2.59-2.70, 1 Li 2.68, 2 Th 2.81

Computed properties:
- Magnetization: 0.00 μB/cell
- Calculated total energy: -6.597 eV per atom
- Formation energy from raw total energies: -1784 meV/atom

***

5.
Density functional theory data (PBE-GGA) for a geometry-optimized BeRhIN2 structure.

Cell lengths 3.7415, 3.7415, 7.8926 Å; angles 90.00, 90.00, 90.00 degrees
Last column: nearest neighbours and their distance in Å.
Atoms (fractional coordinates):
Be 0.0000 0.0000 0.0000  4 I 2.65
Rh 0.5000 0.5000 0.5000  4 N 1.87
I 0.5000 0.5000 0.0000  4 Be 2.65
N 0.0000 0.5000 0.5000  2 Rh 1.87
N 0.5000 0.0000 0.5000  2 Rh 1.87

Computed properties:
- Magnetization: 0.40 μB/cell
- Energy relative to the lowest polymorph listed for this composition: 0.000 eV/f.u.
- Calculated total energy: -4.664 eV per atom
- Formation energy from raw total energies: 1192 meV/atom

***

6.
Density functional theory data (PBE-GGA) for a geometry-optimized Na6Sr16Ca7 structure.

Cell lengths 13.1727, 13.1727, 13.1727 Å; angles 60.00, 60.00, 60.00 degrees
Last column: nearest neighbours and their distance in Å.
Atoms (fractional coordinates):
Na 0.2391 0.2391 0.7609  4 Sr 4.10
Na 0.2391 0.7609 0.2391  4 Sr 4.10
Na 0.2391 0.7609 0.7609  4 Sr 4.10
Na 0.7609 0.2391 0.2391  4 Sr 4.10
Na 0.7609 0.2391 0.7609  4 Sr 4.10
Na 0.7609 0.7609 0.2391  4 Sr 4.10
Sr 0.1420 0.6193 0.6193  4 Ca 3.85-4.10, 3 Na 4.10, 3 Sr 4.17
Sr 0.1677 0.1677 0.1677  3 Ca 3.80, 3 Sr 4.17
Sr 0.1677 0.1677 0.4970  3 Ca 3.80, 3 Sr 4.17
Sr 0.1677 0.4970 0.1677  3 Ca 3.80, 3 Sr 4.17
Sr 0.3807 0.3807 0.3807  4 Ca 3.85-4.10, 3 Na 4.10, 3 Sr 4.17
Sr 0.3807 0.3807 0.8580  4 Ca 3.85-4.10, 3 Na 4.10, 3 Sr 4.17
Sr 0.3807 0.8580 0.3807  4 Ca 3.85-4.10, 3 Na 4.10, 3 Sr 4.17
Sr 0.4970 0.1677 0.1677  3 Ca 3.80, 3 Sr 4.17
Sr 0.5030 0.8323 0.8323  3 Ca 3.80, 3 Sr 4.17
Sr 0.6193 0.1420 0.6193  4 Ca 3.85-4.10, 3 Na 4.10, 3 Sr 4.17
Sr 0.6193 0.6193 0.1420  4 Ca 3.85-4.10, 3 Na 4.10, 3 Sr 4.17
Sr 0.6193 0.6193 0.6193  4 Ca 3.85-4.10, 3 Na 4.10, 3 Sr 4.17
Sr 0.8323 0.5030 0.8323  3 Ca 3.80, 3 Sr 4.17
Sr 0.8323 0.8323 0.5030  3 Ca 3.80, 3 Sr 4.17
Sr 0.8323 0.8323 0.8323  3 Ca 3.80, 3 Sr 4.17
Sr 0.8580 0.3807 0.3807  4 Ca 3.85-4.10, 3 Na 4.10, 3 Sr 4.17
Ca 0.0000 0.0000 0.5000  8 Sr 3.80-4.10
Ca 0.0000 0.5000 0.0000  8 Sr 3.80-4.10
Ca 0.0000 0.5000 0.5000  8 Sr 3.80-4.10
Ca 0.5000 0.0000 0.0000  8 Sr 3.80-4.10
Ca 0.5000 0.0000 0.5000  8 Sr 3.80-4.10
Ca 0.5000 0.5000 0.0000  8 Sr 3.80-4.10
Ca 0.5000 0.5000 0.5000  8 Sr 3.85

Computed properties:
- ΔE_f: 0.1387 eV/atom
- Magnetization: 0.00 μB/cell
- Calculated total energy: -1.545 eV per atom

***

7.
Density functional theory data (PBE-GGA) for a geometry-optimized CrP2Se structure.

Cell lengths 4.0054, 4.0054, 6.8503 Å; angles 100.04, 100.04, 45.08 degrees
Last column: nearest neighbours and their distance in Å.
Atoms (fractional coordinates):
Cr 0.0000 0.0000 0.0000  5 P 2.25-2.48
P 0.2705 0.2705 0.8938  1 P 2.10, 3 Cr 2.25-2.30
P 0.4690 0.4690 0.7118  1 P 2.10
Se 0.7206 0.7206 0.2262  3 Cr 2.54-2.81, 2 P 2.83

Computed properties:
- Magnetization: 0.00 μB/cell
- Calculated total energy: -6.037 eV per atom
- Formation energy from raw total energies: -55 meV/atom

***

8.
Density functional theory data (PBE-GGA) for a geometry-optimized LaCo4P structure.

Cell lengths 5.0065, 5.0065, 5.0065 Å; angles 60.00, 60.00, 60.00 degrees
Last column: nearest neighbours and their distance in Å.
Atoms (fractional coordinates):
La 0.0000 0.0000 0.0000  12 Co 2.94, 4 P 3.07
Co 0.1286 0.6238 0.6238  6 Co 2.48-2.53
Co 0.6238 0.1286 0.6238  6 Co 2.48-2.53
Co 0.6238 0.6238 0.1286  6 Co 2.48-2.53
Co 0.6238 0.6238 0.6238  6 Co 2.48-2.53
P 0.2500 0.2500 0.2500  12 Co 2.93, 4 La 3.07

Computed properties:
- ΔE_f: 0.0890 eV/atom
- Magnetization: 6.07 μB/cell
- Energy relative to the lowest polymorph listed for this composition: 2.123 eV/f.u.
- Calculated total energy: -6.371 eV per atom

***

9.
Density functional theory data (PBE-GGA) for a geometry-optimized HfIrRu structure.

Cell lengths 4.5042, 4.5042, 5.5024 Å; angles 90.00, 90.00, 120.00 degrees
Last column: nearest neighbours and their distance in Å.
Atoms (fractional coordinates):
Hf 0.3333 0.6667 0.2500  5 Ru 2.60-2.75
Hf 0.6667 0.3333 0.7500  5 Ru 2.60-2.75
Ir 0.0000 0.0000 0.0000  2 Ir 2.75, 6 Hf 2.94, 6 Ru 2.94
Ir 0.0000 0.0000 0.5000  2 Ir 2.75, 6 Hf 2.94, 6 Ru 2.94
Ru 0.3333 0.6667 0.7500  5 Hf 2.60-2.75
Ru 0.6667 0.3333 0.2500  5 Hf 2.60-2.75

Computed properties:
- ΔE_f: -0.4911 eV/atom
- Magnetization: 0.00 μB/cell
- Calculated total energy: -9.855 eV per atom

***

10.
Density functional theory data (PBE-GGA) for a geometry-optimized SrTcN3 structure.

Cell lengths 3.9033, 5.7879, 6.1233 Å; angles 81.86, 77.32, 88.51 degrees
Last column: nearest neighbours and their distance in Å.
Atoms (fractional coordinates):
Sr 0.0000 0.0000 0.0000  7 N 2.58-2.88
Sr 0.1602 0.5525 0.5133  6 N 2.59-2.89
Tc 0.4981 0.4727 0.9722  5 N 1.95-2.17
Tc 0.6360 0.0430 0.5517  2 N 1.84-1.89
N 0.1665 0.0274 0.4047  1 N 1.38
N 0.4354 0.1625 0.2655  1 N 1.38
N 0.5403 0.2687 0.7403  2 Tc 1.84-1.95
N 0.6010 0.7617 0.7551  2 Tc 1.89-1.97
N 0.7466 0.6034 0.2156  1 N 1.30
N 0.9651 0.5045 0.0641  1 N 1.30

Computed properties:
- Magnetization: 0.00 μB/cell
- Calculated total energy: -7.663 eV per atom
- Formation energy from raw total energies: -258 meV/atom